Entry 1:
This record from Alexandria via LeMat-Bulk describes crystalline NaYAg at its relaxed geometry. The functional is PBE-GGA.

abc: 3.720 3.720 11.623
angles: 90.00 90.00 90.00
Atoms (fractional coordinates):
Na (0.250, 0.250, 0.100)
Na (0.750, 0.750, 0.900)
Y (0.250, 0.250, 0.396)
Y (0.750, 0.750, 0.604)
Ag (0.250, 0.250, 0.744)
Ag (0.750, 0.750, 0.256)

Output
DFT formation energy (eV/atom): -0.101

***

Entry 2:
This record from Alexandria via LeMat-Bulk describes crystalline NaYAg2 at its relaxed geometry. The functional is PBE-GGA.

abc: 3.616 3.616 7.461
angles: 90.00 90.00 90.00
Atoms (fractional coordinates):
Na (0.000, 0.000, 0.000)
Y (0.000, 0.000, 0.500)
Ag (0.500, 0.500, 0.269)
Ag (0.500, 0.500, 0.731)

Output
DFT formation energy (eV/atom): -0.147
Relative energy among the computed polymorphs (eV per formula unit): 0.000

***

Entry 3:
This record from Alexandria via LeMat-Bulk describes crystalline NaYZnAg at its relaxed geometry. The functional is PBE-GGA.

abc: 5.029 5.029 5.029
angles: 60.00 60.00 60.00
Atoms (fractional coordinates):
Na (0.000, 0.000, 0.000)
Y (0.500, 0.500, 0.500)
Zn (0.250, 0.250, 0.250)
Ag (0.750, 0.750, 0.750)

Output
DFT formation energy (eV/atom): -0.082

***

Entry 4:
This record from Alexandria via LeMat-Bulk describes crystalline NaYZrAg2 at its relaxed geometry. The functional is PBE-GGA.

abc: 5.178 5.178 5.285
angles: 90.00 90.00 90.00
Atoms (fractional coordinates):
Na (0.000, 0.000, 0.000)
Y (0.500, 0.500, 0.000)
Zr (0.000, 0.000, 0.500)
Ag (0.000, 0.500, 0.500)
Ag (0.500, 0.000, 0.500)

Output
DFT formation energy (eV/atom): 0.873
Relative energy among the computed polymorphs (eV per formula unit): 0.107

***

Entry 5:
This record from Alexandria via LeMat-Bulk describes crystalline NaYZrAg2 at its relaxed geometry. The functional is PBE-GGA.

abc: 4.847 4.847 5.222
angles: 90.00 90.00 90.00
Atoms (fractional coordinates):
Na (0.000, 0.000, 0.000)
Y (0.000, 0.000, 0.500)
Zr (0.500, 0.500, 0.500)
Ag (0.000, 0.500, 0.000)
Ag (0.500, 0.000, 0.000)

Output
DFT formation energy (eV/atom): 0.851
Relative energy among the computed polymorphs (eV per formula unit): 0.000

***

Entry 6:
This record from Alexandria via LeMat-Bulk describes crystalline NaZn2Ag9 at its relaxed geometry. The functional is PBE-GGA.

abc: 9.225 9.225 2.959
angles: 90.00 90.00 120.00
Atoms (fractional coordinates):
Na (0.000, 0.000, 0.000)
Zn (0.333, 0.667, 0.000)
Zn (0.667, 0.333, 0.000)
Ag (0.000, 0.500, 0.000)
Ag (0.182, 0.364, 0.500)
Ag (0.182, 0.818, 0.500)
Ag (0.364, 0.182, 0.500)
Ag (0.500, 0.000, 0.000)
Ag (0.500, 0.500, 0.000)
Ag (0.636, 0.818, 0.500)
Ag (0.818, 0.182, 0.500)
Ag (0.818, 0.636, 0.500)

Output
DFT formation energy (eV/atom): -0.002
Relative energy among the computed polymorphs (eV per formula unit): 0.000

***

Entry 7:
This record from Alexandria via LeMat-Bulk describes crystalline Na2Zn17Ag3 at its relaxed geometry. The functional is PBE-GGA.

abc: 7.391 7.391 7.391
angles: 86.29 86.29 86.29
Atoms (fractional coordinates):
Na (0.169, 0.169, 0.169)
Na (0.831, 0.831, 0.831)
Zn (0.000, 0.500, 0.500)
Zn (0.168, 0.168, 0.735)
Zn (0.168, 0.735, 0.168)
Zn (0.254, 0.500, 0.746)
Zn (0.254, 0.746, 0.500)
Zn (0.265, 0.832, 0.832)
Zn (0.396, 0.396, 0.396)
Zn (0.500, 0.000, 0.500)
Zn (0.500, 0.254, 0.746)
Zn (0.500, 0.500, 0.000)
Zn (0.500, 0.746, 0.254)
Zn (0.604, 0.604, 0.604)
Zn (0.735, 0.168, 0.168)
Zn (0.746, 0.254, 0.500)
Zn (0.746, 0.500, 0.254)
Zn (0.832, 0.265, 0.832)
Zn (0.832, 0.832, 0.265)
Ag (0.000, 0.000, 0.500)
Ag (0.000, 0.500, 0.000)
Ag (0.500, 0.000, 0.000)

Output
DFT formation energy (eV/atom): 0.108

***

Entry 8:
This record from Alexandria via LeMat-Bulk describes crystalline NaZn4Ag at its relaxed geometry. The functional is PBE-GGA.

abc: 5.218 5.218 5.218
angles: 60.00 60.00 60.00
Atoms (fractional coordinates):
Na (0.000, 0.000, 0.000)
Zn (0.376, 0.376, 0.376)
Zn (0.376, 0.376, 0.873)
Zn (0.376, 0.873, 0.376)
Zn (0.873, 0.376, 0.376)
Ag (0.750, 0.750, 0.750)

Output
DFT formation energy (eV/atom): -0.056

***

Entry 9:
This record from Alexandria via LeMat-Bulk describes crystalline NaZnAg3 at its relaxed geometry. The functional is PBE-GGA.

abc: 5.001 5.001 5.001
angles: 90.00 90.00 90.00
Atoms (fractional coordinates):
Na (0.000, 0.000, 0.000)
Zn (0.500, 0.500, 0.500)
Ag (0.000, 0.000, 0.500)
Ag (0.000, 0.500, 0.000)
Ag (0.500, 0.000, 0.000)

Output
DFT formation energy (eV/atom): 0.843
Relative energy among the computed polymorphs (eV per formula unit): 4.233

***

Entry 10:
This record from Alexandria via LeMat-Bulk describes crystalline NaZn8Ag4 at its relaxed geometry. The functional is PBE-GGA.

abc: 6.959 6.959 6.959
angles: 99.48 99.48 132.11
Atoms (fractional coordinates):
Na (0.000, 0.000, 0.000)
Zn (0.000, 0.355, 0.355)
Zn (0.000, 0.645, 0.645)
Zn (0.286, 0.500, 0.786)
Zn (0.355, 0.000, 0.355)
Zn (0.500, 0.286, 0.786)
Zn (0.500, 0.714, 0.214)
Zn (0.645, 0.000, 0.645)
Zn (0.714, 0.500, 0.214)
Ag (0.000, 0.000, 0.500)
Ag (0.000, 0.500, 0.000)
Ag (0.500, 0.000, 0.000)
Ag (0.500, 0.500, 0.500)

Output
DFT formation energy (eV/atom): -0.005

***

Entry 11:
This record from Alexandria via LeMat-Bulk describes crystalline NaZn4Ag6 at its relaxed geometry. The functional is PBE-GGA.

abc: 6.879 6.879 6.879
angles: 122.95 122.95 84.97
Atoms (fractional coordinates):
Na (0.000, 0.000, 0.000)
Zn (0.258, 0.571, 0.000)
Zn (0.429, 0.429, 0.687)
Zn (0.571, 0.258, 0.000)
Zn (0.742, 0.742, 0.313)
Ag (0.000, 0.500, 0.500)
Ag (0.093, 0.093, 0.568)
Ag (0.475, 0.907, 0.000)
Ag (0.500, 0.000, 0.500)
Ag (0.525, 0.525, 0.432)
Ag (0.907, 0.475, 0.000)

Output
DFT formation energy (eV/atom): 0.113

***

Entry 12:
This record from Alexandria via LeMat-Bulk describes crystalline NaZn11Ag at its relaxed geometry. The functional is PBE-GGA.

abc: 6.954 6.954 6.657
angles: 98.25 98.25 134.10
Atoms (fractional coordinates):
Na (0.000, 0.000, 0.000)
Zn (0.000, 0.500, 0.000)
Zn (0.009, 0.654, 0.648)
Zn (0.287, 0.512, 0.782)
Zn (0.346, 0.991, 0.352)
Zn (0.488, 0.713, 0.218)
Zn (0.500, 0.000, 0.000)
Zn (0.500, 0.500, 0.500)
Zn (0.512, 0.287, 0.782)
Zn (0.654, 0.009, 0.648)
Zn (0.713, 0.488, 0.218)
Zn (0.991, 0.346, 0.352)
Ag (0.000, 0.000, 0.500)

Output
DFT formation energy (eV/atom): -0.014

***

Entry 13:
This record from Alexandria via LeMat-Bulk describes crystalline NaZnAg2 at its relaxed geometry. The functional is PBE-GGA.

abc: 10.210 10.210 10.210
angles: 156.83 156.83 32.99
Atoms (fractional coordinates):
Na (0.000, 0.000, 0.000)
Na (0.750, 0.250, 0.500)
Zn (0.250, 0.750, 0.500)
Zn (0.500, 0.500, 0.000)
Ag (0.142, 0.625, 0.017)
Ag (0.375, 0.392, 0.517)
Ag (0.608, 0.125, 0.983)
Ag (0.875, 0.858, 0.483)

Output
DFT formation energy (eV/atom): 0.184

***

Entry 14:
This record from Alexandria via LeMat-Bulk describes crystalline NaZn2Ag2 at its relaxed geometry. The functional is PBE-GGA.

abc: 6.569 6.569 6.569
angles: 143.08 143.08 53.20
Atoms (fractional coordinates):
Na (0.000, 0.000, 0.000)
Zn (0.395, 0.395, 0.000)
Zn (0.605, 0.605, 0.000)
Ag (0.250, 0.750, 0.500)
Ag (0.750, 0.250, 0.500)

Output
DFT formation energy (eV/atom): 0.016
Relative energy among the computed polymorphs (eV per formula unit): 0.439

***

Entry 15:
This record from Alexandria via LeMat-Bulk describes crystalline NaZn6Ag4 at its relaxed geometry. The functional is PBE-GGA.

abc: 6.881 6.881 6.881
angles: 120.81 120.81 88.61
Atoms (fractional coordinates):
Na (0.000, 0.000, 0.000)
Zn (0.000, 0.500, 0.500)
Zn (0.112, 0.112, 0.610)
Zn (0.498, 0.888, 0.000)
Zn (0.500, 0.000, 0.500)
Zn (0.502, 0.502, 0.390)
Zn (0.888, 0.498, 0.000)
Ag (0.243, 0.586, 0.000)
Ag (0.414, 0.414, 0.657)
Ag (0.586, 0.243, 0.000)
Ag (0.757, 0.757, 0.343)

Output
DFT formation energy (eV/atom): 0.107

***

Entry 16:
This record from Alexandria via LeMat-Bulk describes crystalline NaZnAg3 at its relaxed geometry. The functional is PBE-GGA.

abc: 4.954 4.954 4.954
angles: 90.00 90.00 90.00
Atoms (fractional coordinates):
Na (0.000, 0.000, 0.000)
Zn (0.500, 0.500, 0.500)
Ag (0.000, 0.500, 0.500)
Ag (0.500, 0.000, 0.500)
Ag (0.500, 0.500, 0.000)

Output
DFT formation energy (eV/atom): 0.225
Relative energy among the computed polymorphs (eV per formula unit): 1.144

***

Entry 17:
This record from Alexandria via LeMat-Bulk describes crystalline NaZn2Ag at its relaxed geometry. The functional is PBE-GGA.

abc: 4.516 7.726 5.730
angles: 90.00 112.70 90.00
Atoms (fractional coordinates):
Na (0.019, 0.250, 0.042)
Na (0.981, 0.750, 0.958)
Zn (0.260, 0.583, 0.522)
Zn (0.260, 0.917, 0.522)
Zn (0.740, 0.083, 0.478)
Zn (0.740, 0.417, 0.478)
Ag (0.304, 0.250, 0.609)
Ag (0.696, 0.750, 0.391)

Output
DFT formation energy (eV/atom): 0.015
Relative energy among the computed polymorphs (eV per formula unit): 0.142

***

Entry 18:
This record from Alexandria via LeMat-Bulk describes crystalline Na2Zn15Ag2 at its relaxed geometry. The functional is PBE-GGA.

abc: 6.872 6.872 6.872
angles: 83.30 83.30 83.30
Atoms (fractional coordinates):
Na (0.156, 0.156, 0.156)
Na (0.844, 0.844, 0.844)
Zn (0.000, 0.500, 0.500)
Zn (0.150, 0.150, 0.659)
Zn (0.150, 0.659, 0.150)
Zn (0.200, 0.500, 0.800)
Zn (0.200, 0.800, 0.500)
Zn (0.341, 0.850, 0.850)
Zn (0.500, 0.000, 0.500)
Zn (0.500, 0.200, 0.800)
Zn (0.500, 0.500, 0.000)
Zn (0.500, 0.800, 0.200)
Zn (0.659, 0.150, 0.150)
Zn (0.800, 0.200, 0.500)
Zn (0.800, 0.500, 0.200)
Zn (0.850, 0.341, 0.850)
Zn (0.850, 0.850, 0.341)
Ag (0.392, 0.392, 0.392)
Ag (0.608, 0.608, 0.608)

Output
DFT formation energy (eV/atom): -0.036

***

Entry 19:
This record from Alexandria via LeMat-Bulk describes crystalline NaZn2Ag3 at its relaxed geometry. The functional is PBE-GGA.

abc: 6.818 6.818 5.394
angles: 90.00 90.00 83.18
Atoms (fractional coordinates):
Na (0.175, 0.825, 0.750)
Na (0.825, 0.175, 0.250)
Zn (0.268, 0.268, 0.000)
Zn (0.268, 0.268, 0.500)
Zn (0.732, 0.732, 0.000)
Zn (0.732, 0.732, 0.500)
Ag (0.043, 0.569, 0.250)
Ag (0.431, 0.957, 0.250)
Ag (0.457, 0.543, 0.250)
Ag (0.543, 0.457, 0.750)
Ag (0.569, 0.043, 0.750)
Ag (0.957, 0.431, 0.750)

Output
DFT formation energy (eV/atom): -0.013
Relative energy among the computed polymorphs (eV per formula unit): 0.118

***

Entry 20:
This record from Alexandria via LeMat-Bulk describes crystalline Na2Zn7Ag12 at its relaxed geometry. The functional is PBE-GGA.

abc: 12.010 12.010 2.943
angles: 90.00 90.00 120.00
Atoms (fractional coordinates):
Na (0.333, 0.667, 0.248)
Na (0.667, 0.333, 0.752)
Zn (0.000, 0.000, 0.500)
Zn (0.131, 0.418, 0.746)
Zn (0.287, 0.869, 0.746)
Zn (0.418, 0.287, 0.254)
Zn (0.582, 0.713, 0.746)
Zn (0.713, 0.131, 0.254)
Zn (0.869, 0.582, 0.254)
Ag (0.077, 0.832, 0.242)
Ag (0.083, 0.620, 0.750)
Ag (0.168, 0.245, 0.242)
Ag (0.245, 0.077, 0.758)
Ag (0.380, 0.464, 0.750)
Ag (0.464, 0.083, 0.250)
Ag (0.536, 0.917, 0.750)
Ag (0.620, 0.536, 0.250)
Ag (0.755, 0.923, 0.242)
Ag (0.832, 0.755, 0.758)
Ag (0.917, 0.380, 0.250)
Ag (0.923, 0.168, 0.758)

Output
DFT formation energy (eV/atom): -0.027